1.
A plane-wave DFT calculation with PBE was carried out for crystalline ZrMn2BRu at its relaxed geometry.

abc: 3.918 3.918 4.621
angles: 90.00 90.00 90.00
Space group P4/mmm (No. 123)
Asymmetric unit:
1 Zr 0.000 0.000 0.000
2 Mn 0.000 0.500 0.500
3 B 0.000 0.000 0.500
4 Ru 0.500 0.500 0.000

Results
Electronic total energy (eV per atom): -8.5375

***

2.
A plane-wave DFT calculation with PBE was carried out for crystalline HfCuBi3 at its relaxed geometry.

abc: 5.202 5.202 5.202
angles: 90.00 90.00 90.00
Space group Pm-3m (No. 221)
Asymmetric unit:
1 Hf 0.000 0.000 0.000
2 Cu 0.500 0.500 0.500
3 Bi 0.000 0.500 0.500

Results
Electronic total energy (eV per atom): -4.4871

***

3.
A plane-wave DFT calculation with PBE was carried out for crystalline CeSmY5 at its relaxed geometry.

abc: 11.365 12.673 6.967
angles: 90.00 109.01 90.00
Space group C2/c (No. 15)
Asymmetric unit:
1 Ce 0.250 0.250 0.000
2 Sm 0.000 0.149 0.250
3 Y 0.000 0.113 0.750
4 Y 0.032 0.366 0.533
5 Y 0.250 0.029 0.638

Results
Electronic total energy (eV per atom): -5.9102

***

4.
A plane-wave DFT calculation with PBE was carried out for crystalline CdSeO4 at its relaxed geometry.

abc: 6.079 8.404 8.448
angles: 90.00 126.01 90.00
Space group P2_1/c (No. 14)
Asymmetric unit:
1 Cd 0.156 0.082 0.379
2 Se 0.353 0.692 0.632
3 O 0.174 0.635 0.075
4 O 0.198 0.563 0.450
5 O 0.327 0.230 0.783
6 O 0.383 0.616 0.830

Results
Electronic total energy (eV per atom): -4.8678
Formation energy (no corrections) (eV/f.u.): -4.97

***

5.
A plane-wave DFT calculation with PBE was carried out for crystalline La2YScH at its relaxed geometry.

abc: 5.131 5.131 4.960
angles: 90.00 90.00 90.00
Space group P4/mmm (No. 123)
Asymmetric unit:
1 La 0.000 0.500 0.000
2 Y 0.000 0.000 0.500
3 Sc 0.500 0.500 0.500
4 H 0.000 0.000 0.000

Results
Electronic total energy (eV per atom): -5.3348

***

6.
A plane-wave DFT calculation with PBE was carried out for crystalline TbZnAu3 at its relaxed geometry.

abc: 6.012 4.700 7.272
angles: 90.00 105.58 90.00
Space group P2_1/m (No. 11)
Asymmetric unit:
1 Tb 0.201 0.250 0.196
2 Zn 0.199 0.750 0.583
3 Au 0.102 0.250 0.760
4 Au 0.339 0.750 0.972
5 Au 0.498 0.250 0.618

Results
Electronic total energy (eV per atom): -3.7288